No. 1
The following is a DFT calculation (PBE) of a relaxed Ag4HgPd5 crystal.

Values from the calculation:
**Uncorrected energy**: -3.81 eV per atom
**Magnetic moment**: 0.00 μB per cell

a b c (Å): 3.2516 3.2516 16.0337
angles (deg): 90.00 90.00 90.00
Space group P4/mmm (No. 123)
Asymmetric unit:
Ag 0.0000 0.0000 0.0983 [2 per cell]
Ag 0.0000 0.0000 0.2950 [2 per cell]
Hg 0.0000 0.0000 0.5000 [1 per cell]
Pd 0.5000 0.5000 0.0000 [1 per cell]
Pd 0.5000 0.5000 0.1974 [2 per cell]
Pd 0.5000 0.5000 0.3968 [2 per cell]


No. 2
The following is a DFT calculation (PBE) of a relaxed AgHg3Pd2 crystal.

Values from the calculation:
**Uncorrected energy**: -2.41 eV per atom
**Magnetic moment**: 0.00 μB per cell

a b c (Å): 4.0815 13.5440 4.0803
angles (deg): 90.00 90.00 90.00
Space group Cmmm (No. 65)
Asymmetric unit:
Ag 0.0000 0.0000 0.0000 [2 per cell]
Hg 0.0000 0.3277 0.0000 [4 per cell]
Hg 0.0000 0.5000 0.5000 [2 per cell]
Pd 0.0000 0.1593 0.5000 [4 per cell]